The following is a PBE with a Hubbard U calculation of Rb2LiCo3F12 after structural relaxation, from Alexandria.

Results
magnetization: 0.333 μB/atom
V: 14.61 Å³/atom
E_tot: -4.5375 eV per atom

Structure (extended XYZ):
```
18
Lattice="-0.387 6.102 3.595 2.314 0.080 6.704 6.042 3.437 1.407" Properties=species:S:1:pos:R:3 pbc="T T T"
F 4.156 2.736 1.688
F 5.650 2.843 5.779
F 3.813 6.883 10.018
F 1.758 4.456 7.104
F 6.018 8.869 6.886
F 1.951 0.750 4.820
F 3.955 3.130 7.809
F 7.616 5.307 8.724
F 6.211 5.163 4.603
F 2.319 6.776 5.927
F 0.353 4.312 2.982
F 4.015 6.489 3.897
Co 1.157 0.040 3.352
Co 3.021 1.719 0.704
Co -0.193 3.051 1.798
Rb 5.006 6.042 7.354
Rb 2.963 3.577 4.353
Li 0.000 0.000 0.000
```